Entry 1:
GGA-PBE PrY2Er2, relaxed; space group = No. 127; density of states at the Fermi level = 5.9 states/eV/f.u.; ΔE to the lowest computed polymorph = 0.000 eV/atom; total magnetic moment = 0.000 μB per formula unit; crystal system = tetragonal; formation energy from the elements = 0.082 eV per atom
1.0
-2.8639 -8.1420 -3.8093
8.0980 -0.6016 -4.8025
1.5398 -1.8657 2.8301
Pr Er Y
2 4 4
Direct
0.0000 0.0000 0.0000 Pr
0.5000 0.5000 0.0000 Pr
0.8764 0.3764 0.0000 Er
0.1236 0.6236 0.0000 Er
0.6236 0.8764 0.0000 Er
0.3764 0.1236 0.0000 Er
0.8272 0.6728 0.5000 Y
0.1728 0.3272 0.5000 Y
0.3272 0.8272 0.5000 Y
0.6728 0.1728 0.5000 Y

---

Entry 2:
GGA-PBE PrYEr2, relaxed; space group = No. 8; density of states at the Fermi level = 7.0 states/eV/f.u.; ΔE to the lowest computed polymorph = 0.030 eV/atom; total magnetic moment = 0.001 μB per formula unit; crystal system = monoclinic; formation energy from the elements = 0.040 eV per atom
1.0
-6.7601 -0.4929 -0.0321
1.1123 -2.4912 2.3036
-7.3211 6.9613 8.2970
Er Pr Y
4 2 2
Direct
0.6704 0.7148 0.2276 Er
0.1869 0.3622 0.0047 Er
0.1731 0.1030 0.5008 Er
0.7018 0.4839 0.7336 Er
0.2267 0.7502 0.7396 Pr
0.7405 0.3670 0.4595 Pr
0.2090 0.9862 0.2311 Y
0.6994 0.0994 0.9670 Y

---

Entry 3:
GGA-PBE PrYEr, relaxed; space group = No. 63; density of states at the Fermi level = 4.6 states/eV/f.u.; ΔE to the lowest computed polymorph = 0.005 eV/atom; total magnetic moment = 0.000 μB per formula unit; crystal system = orthorhombic; formation energy from the elements = 0.025 eV per atom
1.0
-4.3045 1.2466 -2.4553
0.3728 -4.2353 -2.8041
-3.8738 -5.9160 3.7875
Er Pr Y
2 2 2
Direct
0.9281 0.0037 0.0874 Er
0.4281 0.5050 0.0861 Er
0.9280 0.6698 0.7556 Pr
0.4280 0.8393 0.4175 Pr
0.9280 0.3400 0.4159 Y
0.4281 0.1689 0.7574 Y

---

Entry 4:
GGA-PBE Pr3Y2Er6, relaxed; space group = No. 12; density of states at the Fermi level = 16.2 states/eV/f.u.; ΔE to the lowest computed polymorph = 0.000 eV/atom; total magnetic moment = 1.657 μB per formula unit; crystal system = monoclinic; formation energy from the elements = 0.208 eV per atom
1.0
-4.0785 -3.6604 -2.8571
-1.5828 -5.4247 2.5249
-9.9022 3.8730 4.6647
Er Pr Y
6 3 2
Direct
0.7509 0.0000 0.7464 Er
0.4182 0.6672 0.7458 Er
0.9146 0.6672 0.2542 Er
0.5818 0.3328 0.2542 Er
0.0854 0.3328 0.7458 Er
0.2491 0.0000 0.2536 Er
0.0000 0.0000 0.0000 Pr
0.3354 0.3292 0.0000 Pr
0.6646 0.6708 0.0000 Pr
0.8339 0.3323 0.5000 Y
0.1661 0.6677 0.5000 Y

---

Entry 5:
GGA-PBE Pr6Y12Er, relaxed; space group = No. 166; density of states at the Fermi level = 30.7 states/eV/f.u.; ΔE to the lowest computed polymorph = 0.000 eV/atom; total magnetic moment = 0.000 μB per formula unit; crystal system = trigonal; formation energy from the elements = 0.120 eV per atom
1.0
8.5266 1.3149 1.5753
0.0071 8.6274 1.5753
0.0071 0.0082 8.7700
Y Er Pr
12 1 6
Direct
0.5145 0.5142 0.1956 Y
0.1956 0.5145 0.5142 Y
0.4855 0.4858 0.8044 Y
0.4852 0.1371 0.1372 Y
0.8628 0.5148 0.8629 Y
0.1372 0.4852 0.1371 Y
0.5142 0.1956 0.5145 Y
0.8044 0.4855 0.4858 Y
0.4858 0.8044 0.4855 Y
0.8629 0.8628 0.5148 Y
0.1371 0.1372 0.4852 Y
0.5148 0.8629 0.8628 Y
0.0000 0.0000 0.0000 Er
0.7687 0.7685 0.1635 Pr
0.1635 0.7687 0.7685 Pr
0.7685 0.1635 0.7687 Pr
0.2313 0.2315 0.8365 Pr
0.8365 0.2313 0.2315 Pr
0.2315 0.8365 0.2313 Pr

---

Entry 6:
GGA-PBE Pr4Y7Er, relaxed; space group = No. 2; density of states at the Fermi level = 19.9 states/eV/f.u.; total magnetic moment = 0.000 μB per formula unit; crystal system = triclinic; formation energy from the elements = 0.084 eV per atom
1.0
6.1194 -1.3342 2.9079
1.1936 6.0073 2.4829
2.7870 -1.9765 11.4396
Y Pr Er
7 4 1
Direct
0.9489 0.6748 0.3607 Y
0.0511 0.3252 0.6393 Y
0.8001 0.5078 0.9530 Y
0.2693 0.8175 0.6222 Y
0.1999 0.4922 0.0470 Y
0.7307 0.1825 0.3777 Y
0.5000 0.0000 0.0000 Y
0.4658 0.3560 0.7167 Pr
0.6863 0.8347 0.6956 Pr
0.3137 0.1653 0.3044 Pr
0.5342 0.6440 0.2833 Pr
0.0000 0.0000 0.0000 Er

---

Entry 7:
GGA-PBE Pr8Y3Er3, relaxed; space group = No. 71; density of states at the Fermi level = 18.9 states/eV/f.u.; total magnetic moment = 0.000 μB per formula unit; crystal system = orthorhombic; formation energy from the elements = 0.111 eV per atom
1.0
-3.9279 0.5016 4.1212
-5.7404 -7.9803 -0.5434
4.6515 -1.4118 8.5618
Y Er Pr
3 3 8
Direct
0.5000 0.5000 0.5000 Y
0.1942 0.8058 0.8058 Y
0.8058 0.1942 0.1942 Y
0.0000 0.8192 0.1808 Er
0.5000 0.0000 0.0000 Er
0.0000 0.1808 0.8192 Er
0.6570 0.5697 0.1170 Pr
0.6570 0.1170 0.5697 Pr
0.1631 0.2326 0.4413 Pr
0.3430 0.8830 0.4303 Pr
0.1631 0.4413 0.2326 Pr
0.8369 0.5587 0.7674 Pr
0.8369 0.7674 0.5587 Pr
0.3430 0.4303 0.8830 Pr

---

Entry 8:
GGA-PBE Pr12Y7Er, relaxed; space group = No. 148; density of states at the Fermi level = 28.4 states/eV/f.u.; ΔE to the lowest computed polymorph = 0.059 eV/atom; total magnetic moment = 0.000 μB per formula unit; crystal system = trigonal; formation energy from the elements = 0.269 eV per atom
1.0
-1.7145 -4.8038 4.5853
11.1919 -0.9913 -0.2735
5.4785 3.5231 9.1591
Y Pr Er
7 12 1
Direct
0.7884 0.1609 0.1394 Y
0.0722 0.8606 0.3003 Y
0.9278 0.1394 0.6997 Y
0.6275 0.6997 0.1609 Y
0.5000 0.0000 0.0000 Y
0.2116 0.8391 0.8606 Y
0.3725 0.3003 0.8391 Y
0.7933 0.0663 0.4575 Pr
0.7104 0.7891 0.7912 Pr
0.2896 0.2109 0.2088 Pr
0.9213 0.4196 0.7891 Pr
0.0787 0.5804 0.2109 Pr
0.5016 0.7912 0.4196 Pr
0.7269 0.4761 0.0663 Pr
0.7492 0.5425 0.5239 Pr
0.2508 0.4575 0.4761 Pr
0.4984 0.2088 0.5804 Pr
0.2067 0.9337 0.5425 Pr
0.2731 0.5239 0.9337 Pr
0.0000 0.0000 0.0000 Er

---

Entry 9:
GGA-PBE Pr8Y4Er, relaxed; space group = No. 166; density of states at the Fermi level = 14.5 states/eV/f.u.; total magnetic moment = 0.000 μB per formula unit; crystal system = trigonal; formation energy from the elements = 0.185 eV per atom
1.0
-6.0166 -1.5771 -3.8807
1.1832 -3.3078 6.4347
-1.2358 9.3572 5.0371
Pr Y Er
8 4 1
Direct
0.9591 0.7508 0.7098 Pr
0.0409 0.7917 0.2902 Pr
0.9591 0.2083 0.7098 Pr
0.4985 0.2492 0.2902 Pr
0.4240 0.2120 0.6359 Pr
0.5760 0.7880 0.3641 Pr
0.0409 0.2492 0.2902 Pr
0.5015 0.7508 0.7098 Pr
0.0000 0.5000 0.0000 Y
0.5000 0.0000 0.0000 Y
0.0000 0.0000 0.0000 Y
0.5000 0.5000 0.0000 Y
0.0000 0.5000 0.5000 Er

---

Entry 10:
GGA-PBE Pr5YEr4, relaxed; space group = No. 12; density of states at the Fermi level = 15.7 states/eV/f.u.; total magnetic moment = 0.000 μB per formula unit; crystal system = monoclinic; formation energy from the elements = 0.141 eV per atom
1.0
-1.6984 -3.0185 0.9970
7.5682 -1.8991 7.1423
-3.1343 6.0279 6.3959
Er Pr Y
4 5 1
Direct
0.0464 0.2357 0.0928 Er
0.3177 0.9153 0.6354 Er
0.6823 0.0847 0.3646 Er
0.9536 0.7643 0.9072 Er
0.1417 0.7717 0.2833 Pr
0.8583 0.2283 0.7167 Pr
0.8103 0.6004 0.6206 Pr
0.5000 0.5000 0.0000 Pr
0.1897 0.3996 0.3794 Pr
0.5000 0.0000 0.0000 Y

---

Entry 11:
GGA-PBE Pr5Y2Er2, relaxed; space group = No. 12; density of states at the Fermi level = 13.5 states/eV/f.u.; ΔE to the lowest computed polymorph = 0.000 eV/atom; total magnetic moment = 0.000 μB per formula unit; crystal system = monoclinic; formation energy from the elements = 0.019 eV per atom
1.0
5.6713 -0.7846 -2.6506
-3.2388 5.1870 1.5534
-3.9497 2.4789 13.2737
Pr Er Y
5 2 2
Direct
0.5543 0.3339 0.8884 Pr
0.2223 0.3326 0.5551 Pr
0.4457 0.6661 0.1116 Pr
0.0000 0.0000 0.0000 Pr
0.7777 0.6674 0.4449 Pr
0.8915 0.3325 0.2239 Er
0.1085 0.6675 0.7761 Er
0.6673 0.9998 0.6673 Y
0.3327 0.0002 0.3327 Y

---

Entry 12:
GGA-PBE Pr2Y5Er2, relaxed; space group = No. 46; density of states at the Fermi level = 14.4 states/eV/f.u.; ΔE to the lowest computed polymorph = 0.068 eV/atom; total magnetic moment = 0.000 μB per formula unit; crystal system = orthorhombic; formation energy from the elements = 0.226 eV per atom
1.0
11.8608 0.0000 0.0000
0.0000 6.7932 0.0000
-5.9304 -3.3966 7.4957
Y Er Pr
10 4 4
Direct
0.5923 0.2542 0.7149 Y
0.3774 0.0394 0.2851 Y
0.8087 0.2564 0.1049 Y
0.9974 0.1482 0.5000 Y
0.0026 0.6482 0.5000 Y
0.7962 0.7564 0.1049 Y
0.1913 0.1515 0.8951 Y
0.2038 0.6515 0.8951 Y
0.6226 0.7542 0.7149 Y
0.4077 0.5394 0.2851 Y
0.6306 0.1854 0.2538 Er
0.8767 0.4316 0.7462 Er
0.1233 0.6854 0.2538 Er
0.3694 0.9316 0.7462 Er
0.7412 0.8588 0.5000 Pr
0.2588 0.3588 0.5000 Pr
0.5000 0.5104 0.0000 Pr
0.0000 0.0104 0.0000 Pr

---

Please write out number 1 again, unchanged.
GGA-PBE PrY2Er2, relaxed; space group = No. 127; density of states at the Fermi level = 5.9 states/eV/f.u.; ΔE to the lowest computed polymorph = 0.000 eV/atom; total magnetic moment = 0.000 μB per formula unit; crystal system = tetragonal; formation energy from the elements = 0.082 eV per atom
1.0
-2.8639 -8.1420 -3.8093
8.0980 -0.6016 -4.8025
1.5398 -1.8657 2.8301
Pr Er Y
2 4 4
Direct
0.0000 0.0000 0.0000 Pr
0.5000 0.5000 0.0000 Pr
0.8764 0.3764 0.0000 Er
0.1236 0.6236 0.0000 Er
0.6236 0.8764 0.0000 Er
0.3764 0.1236 0.0000 Er
0.8272 0.6728 0.5000 Y
0.1728 0.3272 0.5000 Y
0.3272 0.8272 0.5000 Y
0.6728 0.1728 0.5000 Y

---

Which of these has the lowest density of states at the Fermi level?
PrYEr

---

Which of these has the lowest density of states at the Fermi level?
PrYEr

---

The highest density of states at the Fermi level belongs to which entry?
Pr6Y12Er